LaPm7Sm2: relaxed, PBE.

The structure belongs to space group Cmmm (No. 65); the cell edges are 8.901, 16.371 and 5.693 Å and the angles 90.00°, 90.00° and 90.00°. The distinct sites, in fractional coordinates, are La at (0.000, 0.000, 0.000), Pm at (0.000, 0.227, 0.000), Pm at (0.000, 0.500, 0.500), Pm at (0.179, 0.116, 0.500) and Sm at (0.000, 0.297, 0.500).

For the total magnetization, the calculation gives 0.000 μB per formula unit. The calculation puts the polymorph energy (0 for the lowest one) at 0.432 eV per atom. The value obtained for the energy relative to the elements is 629 meV/atom.

Tb4Ce2Ho5: relaxed, PBE.

The structure belongs to space group P-1 (No. 2); the cell edges are 3.483, 8.700 and 11.636 Å and the angles 96.89°, 98.58° and 90.01°. The distinct sites, in fractional coordinates, are Tb at (0.099, 0.199, 0.198), Tb at (0.369, 0.442, 0.738), Ce at (0.312, 0.065, 0.624), Ho at (0.000, 0.500, 0.000), Ho at (0.264, 0.678, 0.528) and Ho at (0.463, 0.151, 0.925).

For the total magnetization, the calculation gives 1.683 μB per formula unit. The value obtained for the energy relative to the elements is 106 meV/atom.

CeNb2Mo: relaxed, PBE.

The structure belongs to space group R-3m (No. 166, hexagonal axes); the cell edges are 3.0702, 3.0702 and 29.4080 Å and the angles 90.00°, 90.00° and 120.00°. The distinct sites, in fractional coordinates, are Ce at (0.0000, 0.0000, 0.0000), Nb at (0.0000, 0.0000, 0.0969) and Mo at (0.0000, 0.0000, 0.5000).

For the total magnetization, the calculation gives 0.001 μB per formula unit. The calculation puts the polymorph energy (0 for the lowest one) at 0.253 eV per atom. The value obtained for the energy relative to the elements is 379 meV/atom.

RbHf2ScW: relaxed, PBE.

The structure belongs to space group P4/mmm (No. 123); the cell edges are 4.987, 4.987 and 4.617 Å and the angles 90.00°, 90.00° and 90.00°. The distinct sites, in fractional coordinates, are Rb at (0.000, 0.000, 0.000), Hf at (0.000, 0.500, 0.000), Sc at (0.000, 0.000, 0.500) and W at (0.500, 0.500, 0.500).

For the total magnetization, the calculation gives 0.000 μB per formula unit. The value obtained for the energy relative to the elements is 2473 meV/atom.

NbFeAs2N: relaxed, PBE.

The structure belongs to space group P4/mmm (No. 123); the cell edges are 4.830, 4.830 and 3.363 Å and the angles 90.00°, 90.00° and 90.00°. The distinct sites, in fractional coordinates, are Nb at (0.000, 0.000, 0.000), Fe at (0.500, 0.500, 0.500), As at (0.000, 0.500, 0.500) and N at (0.500, 0.500, 0.000).

For the total magnetization, the calculation gives 1.182 μB per formula unit. The energy relative to the elements, uncorrected comes out at 40.6 kJ per mole of atoms.

Y2GeSe2: relaxed, PBE.

The structure belongs to space group I4/mmm (No. 139); the cell edges are 4.735, 4.735 and 13.344 Å and the angles 90.00°, 90.00° and 90.00°. The distinct sites, in fractional coordinates, are Y at (0.000, 0.000, 0.139), Ge at (0.000, 0.000, 0.500) and Se at (0.000, 0.500, 0.250).

For the total magnetization, the calculation gives 1.104 μB per formula unit. The energy relative to the elements, uncorrected comes out at -76.1 kJ per mole of atoms. The calculation puts the polymorph energy (0 for the lowest one) at 0.393 eV per atom.